Material: TlTe2P
Method: DFT, PBE
State: relaxed

Cell lengths 6.3620, 3.2608, 6.3637 Å; angles 90.00, 96.08, 89.99 degrees
Last column: nearest neighbours and their distance in Å.
Atoms (fractional coordinates):
1 Tl 0.0091 0.8750 0.3662  2 Tl 3.26, 8 Te 3.55-3.61
2 P 0.4380 0.3750 0.9367  2 Te 2.51
3 Te 0.0419 0.3753 0.8644  1 P 2.51
4 Te 0.5109 0.3747 0.3327  1 P 2.51

Calculated values
* total moment: 0.000 μB per formula unit
* ΔE_f (raw): 72 meV per atom

***

Material: TlTe2P
Method: DFT, PBE
State: relaxed

Cell lengths 4.0629, 4.0629, 8.2876 Å; angles 90.00, 90.00, 120.00 degrees
Last column: nearest neighbours and their distance in Å.
Atoms (fractional coordinates):
1 Te 0.3333 0.6667 0.3101  3 P 2.82
2 Te 0.6667 0.3333 0.6899  3 P 2.82
3 P 0.0000 0.0000 0.5000  6 Te 2.82
4 Tl 0.0000 0.0000 0.0000  6 Te 3.48

Calculated values
* total moment: 0.000 μB per formula unit
* ΔE_f (raw): 27 meV per atom

***

Material: Tl2TeP
Method: DFT, PBE
State: relaxed

Cell lengths 12.1449, 12.1449, 12.1449 Å; angles 15.55, 15.55, 15.55 degrees
Last column: nearest neighbours and their distance in Å.
Atoms (fractional coordinates):
1 P 0.5000 0.5000 0.5000  6 Tl 3.15, 6 P 3.29
2 Tl 0.7635 0.7635 0.7635  3 P 3.15, 6 Tl 3.29
3 Tl 0.2365 0.2365 0.2365  3 P 3.15, 6 Tl 3.29
4 Te 0.0000 0.0000 0.0000  6 Te 3.29

Calculated values
* total moment: 0.000 μB per formula unit
* excess energy over the best structure of this formula in the dataset: 222 meV per atom
* ΔE_f (raw): 332 meV per atom

***

- The highest ΔE_f (raw) belongs to which entry?
  Tl2TeP